(1)
# Li2NiSn2Au PBE relaxed
data_Li2NiSn2Au
_chemical_formula_sum 'Li2 Ni1 Sn2 Au1'
_cell_length_a 4.609
_cell_length_b 4.609
_cell_length_c 5.787
_cell_angle_alpha 90.00
_cell_angle_beta 90.00
_cell_angle_gamma 120.00
_symmetry_space_group_name_H-M 'P 1'
_symmetry_Int_Tables_number 1
loop_
_symmetry_equiv_pos_as_xyz
'x,y,z'
loop_
_atom_site_label
_atom_site_type_symbol
_atom_site_fract_x
_atom_site_fract_y
_atom_site_fract_z
_atom_site_occupancy
Li1 Li 0.000 0.000 0.244 1
Li2 Li 0.000 0.000 0.756 1
Ni1 Ni 0.667 0.333 0.000 1
Sn1 Sn 0.333 0.667 0.000 1
Sn2 Sn 0.667 0.333 0.500 1
Au1 Au 0.333 0.667 0.500 1
# Crystal system: hexagonal
# DFT total energy, eV/f.u.: -22.7
# Mass density, Mg/m³: 7.909
# Calculated volume, Å³/cell: 106.4

(2)
# LiNiTeAu PBE relaxed
data_LiNiTeAu
_chemical_formula_sum 'Li1 Ni1 Te1 Au1'
_cell_length_a 4.534
_cell_length_b 4.534
_cell_length_c 4.534
_cell_angle_alpha 60.00
_cell_angle_beta 60.00
_cell_angle_gamma 60.00
_symmetry_space_group_name_H-M 'P 1'
_symmetry_Int_Tables_number 1
loop_
_symmetry_equiv_pos_as_xyz
'x,y,z'
loop_
_atom_site_label
_atom_site_type_symbol
_atom_site_fract_x
_atom_site_fract_y
_atom_site_fract_z
_atom_site_occupancy
Li1 Li 0.000 0.000 0.000 1
Ni1 Ni 0.500 0.500 0.500 1
Te1 Te 0.750 0.750 0.750 1
Au1 Au 0.250 0.250 0.250 1
# Crystal system: cubic
# ΔE to the lowest computed polymorph, meV/atom: 0.0
# Mass density, Mg/m³: 9.834
# Calculated volume, Å³/cell: 65.9